Entry 1:
Mg2CrSb | Alexandria via LeMat-Bulk | PBE-GGA | relaxed; E_form (uncorrected) = 2.26 kcal/mol of atoms; DFT total energy = -4.14 eV/atom; space-group type = I-4m2; distance to the lowest polymorph of the same formula = 0.25 eV per formula unit
1.0
-2.134 2.134 4.481
2.134 -2.134 4.481
2.134 2.134 -4.481
Mg Cr Sb
2 1 1
Cartesian
0.000 0.000 0.000
0.000 2.134 2.240
2.134 0.000 2.240
0.000 0.000 4.481

Entry 2:
Mg2CrSb | Alexandria via LeMat-Bulk | PBE-GGA | relaxed; E_form (uncorrected) = 0.81 kcal/mol of atoms; DFT total energy = -4.20 eV/atom; space-group type = P4/mmm; distance to the lowest polymorph of the same formula = 0.00 eV per formula unit
1.0
4.327 0.000 0.000
0.000 4.327 0.000
0.000 0.000 4.347
Mg Cr Sb
2 1 1
Cartesian
0.000 2.163 0.000
2.163 0.000 0.000
0.000 0.000 2.173
2.163 2.163 2.173

Entry 3:
Mg2CrSb | Alexandria via LeMat-Bulk | PBE-GGA | relaxed; E_form (uncorrected) = 3.67 kcal/mol of atoms; DFT total energy = -4.07 eV/atom; space-group type = Pmmm; distance to the lowest polymorph of the same formula = 0.50 eV per formula unit
1.0
3.255 0.000 0.000
0.000 4.186 0.000
0.000 0.000 6.192
Mg Cr Sb
2 1 1
Cartesian
0.000 0.000 1.435
0.000 0.000 4.757
1.628 2.093 0.000
1.628 2.093 3.096

Entry 4:
Mg2CrSb | Alexandria via LeMat-Bulk | PBE-GGA | relaxed; E_form (uncorrected) = 2.93 kcal/mol of atoms; DFT total energy = -4.11 eV/atom; space-group type = P4mm; distance to the lowest polymorph of the same formula = 0.37 eV per formula unit
1.0
3.695 0.000 0.000
0.000 3.695 0.000
0.000 0.000 6.099
Mg Cr Sb
2 1 1
Cartesian
0.000 0.000 0.000
1.848 1.848 1.554
1.848 1.848 4.528
0.000 0.000 3.258

Entry 5:
MgCr2Sb | Alexandria via LeMat-Bulk | PBE-GGA | relaxed; E_form (uncorrected) = 6.99 kcal/mol of atoms; DFT total energy = -5.94 eV/atom; space-group type = P4/mmm
1.0
4.272 0.000 0.000
0.000 4.272 0.000
0.000 0.000 3.839
Mg Cr Sb
1 2 1
Cartesian
0.000 0.000 0.000
0.000 2.136 1.920
2.136 0.000 1.920
2.136 2.136 0.000

Entry 6:
Mg2CrSb | Alexandria via LeMat-Bulk | PBE-GGA | relaxed; E_form (uncorrected) = 5.33 kcal/mol of atoms; DFT total energy = -4.00 eV/atom; space-group type = Fm-3m; distance to the lowest polymorph of the same formula = 0.79 eV per formula unit
1.0
0.000 3.521 3.521
3.521 0.000 3.521
3.521 3.521 0.000
Mg Cr Sb
2 1 1
Cartesian
1.760 1.760 1.760
5.281 5.281 5.281
0.000 0.000 0.000
3.521 3.521 3.521

Entry 7:
MgCrSb2 | Alexandria via LeMat-Bulk | PBE-GGA | relaxed; E_form (uncorrected) = 3.09 kcal/mol of atoms; DFT total energy = -4.73 eV/atom; space-group type = P4/mmm; distance to the lowest polymorph of the same formula = 0.53 eV per formula unit
1.0
4.695 0.000 0.000
0.000 4.695 0.000
0.000 0.000 4.061
Mg Cr Sb
1 1 2
Cartesian
0.000 0.000 0.000
2.348 2.348 0.000
0.000 2.348 2.031
2.348 0.000 2.031

Entry 8:
Mg2CrSb | Alexandria via LeMat-Bulk | PBE-GGA | relaxed; E_form (uncorrected) = 5.11 kcal/mol of atoms; DFT total energy = -4.01 eV/atom; space-group type = P4/mmm; distance to the lowest polymorph of the same formula = 0.75 eV per formula unit
1.0
3.215 0.000 0.000
0.000 3.215 0.000
0.000 0.000 8.422
Mg Cr Sb
2 1 1
Cartesian
0.000 0.000 1.874
0.000 0.000 6.549
1.607 1.607 0.000
1.607 1.607 4.211

Entry 9:
MgCrSb2 | Alexandria via LeMat-Bulk | PBE-GGA | relaxed; E_form (uncorrected) = 3.02 kcal/mol of atoms; DFT total energy = -4.73 eV/atom; space-group type = C2/m; distance to the lowest polymorph of the same formula = 0.52 eV per formula unit
1.0
3.148 -3.814 0.000
3.148 3.814 0.000
-0.056 0.000 3.738
Mg Cr Sb
1 1 2
Cartesian
0.000 0.000 0.000
3.148 0.000 0.000
1.546 1.907 1.869
1.546 -1.907 1.869

Entry 10:
Mg6CrSb | Alexandria via LeMat-Bulk | PBE-GGA | relaxed; E_form (uncorrected) = 1.33 kcal/mol of atoms; DFT total energy = -2.86 eV/atom; space-group type = Amm2; distance to the lowest polymorph of the same formula = 0.03 eV per formula unit
1.0
5.002 0.000 0.000
0.000 3.190 5.450
0.000 -3.190 5.450
Mg Cr Sb
6 1 1
Cartesian
0.000 0.000 0.000
0.000 -1.537 2.772
0.000 1.537 2.772
2.501 0.000 1.803
2.501 -1.566 4.575
2.501 1.566 4.575
0.000 0.000 5.480
2.501 0.000 7.210

Entry 11:
Mg2CrSb | Alexandria via LeMat-Bulk | PBE-GGA | relaxed; E_form (uncorrected) = 4.63 kcal/mol of atoms; DFT total energy = -4.03 eV/atom; space-group type = F-43m; distance to the lowest polymorph of the same formula = 0.66 eV per formula unit
1.0
0.000 3.499 3.499
3.499 0.000 3.499
3.499 3.499 0.000
Mg Cr Sb
2 1 1
Cartesian
0.000 0.000 0.000
1.749 1.749 1.749
3.499 3.499 3.499
5.248 5.248 5.248

Entry 12:
MgCr2Sb | Alexandria via LeMat-Bulk | PBE-GGA | relaxed; E_form (uncorrected) = 8.29 kcal/mol of atoms; DFT total energy = -5.88 eV/atom; space-group type = I-4m2
1.0
-1.982 1.982 4.556
1.982 -1.982 4.556
1.982 1.982 -4.556
Mg Cr Sb
1 2 1
Cartesian
0.000 0.000 0.000
1.982 0.000 2.278
0.000 0.000 4.556
0.000 1.982 2.278

Entry 13:
MgCrSb2 | Alexandria via LeMat-Bulk | PBE-GGA | relaxed; E_form (uncorrected) = 2.61 kcal/mol of atoms; DFT total energy = -4.75 eV/atom; space-group type = P2/m; distance to the lowest polymorph of the same formula = 0.45 eV per formula unit
1.0
3.168 0.000 0.000
0.000 3.705 0.000
-0.556 0.000 7.609
Mg Cr Sb
1 1 2
Cartesian
0.000 0.000 0.000
-0.278 0.000 3.804
1.304 1.853 2.135
1.308 1.853 5.473

Entry 14:
MgCrSb2 | Alexandria via LeMat-Bulk | PBE-GGA | relaxed; E_form (uncorrected) = 3.19 kcal/mol of atoms; DFT total energy = -4.73 eV/atom; space-group type = I-4m2; distance to the lowest polymorph of the same formula = 0.55 eV per formula unit
1.0
-2.080 2.080 5.130
2.080 -2.080 5.130
2.080 2.080 -5.130
Mg Cr Sb
1 1 2
Cartesian
0.000 0.000 0.000
0.000 2.080 2.565
2.080 0.000 2.565
0.000 0.000 5.130

Entry 15:
MgCrSb2 | Alexandria via LeMat-Bulk | PBE-GGA | relaxed; E_form (uncorrected) = 3.50 kcal/mol of atoms; DFT total energy = -4.71 eV/atom; space-group type = I4/mmm; distance to the lowest polymorph of the same formula = 0.60 eV per formula unit
1.0
-2.384 2.384 3.941
2.384 -2.384 3.941
2.384 2.384 -3.941
Mg Cr Sb
1 1 2
Cartesian
0.000 0.000 0.000
0.000 0.000 3.941
2.384 0.000 1.970
0.000 2.384 1.970

Entry 16:
MgCr4Sb | Alexandria via LeMat-Bulk | PBE-GGA | relaxed; E_form (uncorrected) = 7.80 kcal/mol of atoms; DFT total energy = -7.03 eV/atom; space-group type = F-43m
1.0
0.000 3.503 3.503
3.503 0.000 3.503
3.503 3.503 0.000
Mg Cr Sb
1 4 1
Cartesian
0.000 0.000 0.000
2.621 2.621 2.621
4.386 4.386 2.621
4.386 2.621 4.386
2.621 4.386 4.386
5.255 5.255 5.255

Entry 17:
Mg2CrSb | Alexandria via LeMat-Bulk | PBE-GGA | relaxed; E_form (uncorrected) = 7.19 kcal/mol of atoms; DFT total energy = -3.92 eV/atom; space-group type = R-3m; distance to the lowest polymorph of the same formula = 1.11 eV per formula unit
1.0
1.653 0.954 9.508
-1.653 0.954 9.508
0.000 -1.909 9.508
Mg Cr Sb
2 1 1
Cartesian
0.000 0.000 7.026
0.000 0.000 21.498
0.000 0.000 14.262
0.000 0.000 0.000

Entry 18:
Mg2CrSb | Alexandria via LeMat-Bulk | PBE-GGA | relaxed; E_form (uncorrected) = 6.42 kcal/mol of atoms; DFT total energy = -3.96 eV/atom; space-group type = R3m; distance to the lowest polymorph of the same formula = 0.97 eV per formula unit
1.0
1.643 0.949 9.389
-1.643 0.949 9.389
0.000 -1.897 9.389
Mg Cr Sb
2 1 1
Cartesian
0.000 0.000 0.000
0.000 0.000 6.821
0.000 0.000 13.998
0.000 0.000 21.361

Entry 19:
MgTa2CrSb | Alexandria via LeMat-Bulk | PBE-GGA | relaxed; E_form (uncorrected) = 51.26 kcal/mol of atoms; DFT total energy = -5.59 eV/atom; space-group type = P4/mmm
1.0
4.770 0.000 0.000
0.000 4.770 0.000
0.000 0.000 4.811
Mg Ta Cr Sb
1 2 1 1
Cartesian
0.000 0.000 0.000
0.000 2.385 0.000
2.385 0.000 0.000
2.385 2.385 2.405
0.000 0.000 2.405

Entry 20:
MgCrSb2Te | Alexandria via LeMat-Bulk | PBE-GGA | relaxed; E_form (uncorrected) = 17.80 kcal/mol of atoms; DFT total energy = -3.75 eV/atom; space-group type = P4/mmm; distance to the lowest polymorph of the same formula = 2.27 eV per formula unit
1.0
5.320 0.000 0.000
0.000 5.320 0.000
0.000 0.000 5.502
Mg Cr Sb Te
1 1 2 1
Cartesian
0.000 0.000 0.000
2.660 2.660 2.751
0.000 2.660 0.000
2.660 0.000 0.000
0.000 0.000 2.751

Entry 21:
MgCrSbTe2 | Alexandria via LeMat-Bulk | PBE-GGA | relaxed; E_form (uncorrected) = 6.13 kcal/mol of atoms; DFT total energy = -4.06 eV/atom; space-group type = P4/mmm; distance to the lowest polymorph of the same formula = 0.00 eV per formula unit
1.0
5.338 0.000 0.000
0.000 5.338 0.000
0.000 0.000 5.061
Mg Cr Sb Te
1 1 1 2
Cartesian
0.000 0.000 0.000
2.669 2.669 2.531
2.669 2.669 0.000
0.000 2.669 2.531
2.669 0.000 2.531

Entry 22:
MgCrSb2Te | Alexandria via LeMat-Bulk | PBE-GGA | relaxed; E_form (uncorrected) = 7.34 kcal/mol of atoms; DFT total energy = -4.20 eV/atom; space-group type = P4/mmm; distance to the lowest polymorph of the same formula = 0.00 eV per formula unit
1.0
5.017 0.000 0.000
0.000 5.017 0.000
0.000 0.000 5.613
Mg Cr Sb Te
1 1 2 1
Cartesian
0.000 0.000 0.000
2.508 2.508 2.807
0.000 2.508 2.807
2.508 0.000 2.807
2.508 2.508 0.000

Entry 23:
MgSc2Cr | Alexandria via LeMat-Bulk | PBE-GGA | relaxed; DFT total energy = -5.74 eV/atom; space-group type = P4mm
1.0
3.305 0.000 0.000
0.000 3.305 0.000
0.000 0.000 7.711
Mg Sc Cr
1 2 1
Cartesian
0.000 0.000 0.000
0.000 0.000 4.461
1.653 1.653 2.174
1.653 1.653 6.060

Entry 24:
MgScCr2 | Alexandria via LeMat-Bulk | PBE-GGA | relaxed; DFT total energy = -6.45 eV/atom; space-group type = Cmm2
1.0
1.582 -2.345 0.000
1.582 2.345 0.000
0.000 0.000 8.922
Mg Sc Cr
1 1 2
Cartesian
0.000 0.000 0.000
1.582 0.000 2.797
0.000 0.000 5.023
1.582 0.000 6.581

Entry 25:
MgScCr2 | Alexandria via LeMat-Bulk | PBE-GGA | relaxed; DFT total energy = -5.75 eV/atom; space-group type = I-42d
1.0
-3.555 3.555 2.636
3.555 -3.555 2.636
3.555 3.555 -2.636
Mg Sc Cr
2 2 4
Cartesian
0.000 0.000 0.000
0.000 3.555 1.318
3.555 0.000 1.318
0.000 0.000 2.636
5.332 1.712 -0.659
1.712 1.777 0.659
-1.777 1.843 1.977
1.843 1.777 3.295

Entry 26:
MgSc2Cr | Alexandria via LeMat-Bulk | PBE-GGA | relaxed; DFT total energy = -5.71 eV/atom; space-group type = Pmm2
1.0
3.191 0.000 0.000
0.000 4.305 0.000
0.000 0.000 6.244
Mg Sc Cr
1 2 1
Cartesian
0.000 0.000 0.000
0.000 0.000 3.317
1.595 2.153 1.605
1.595 2.153 4.611

Entry 27:
MgSc2Cr | Alexandria via LeMat-Bulk | PBE-GGA | relaxed; DFT total energy = -5.71 eV/atom; space-group type = R-3m
1.0
1.581 0.913 9.721
-1.581 0.913 9.721
0.000 -1.825 9.721
Mg Sc Cr
1 2 1
Cartesian
0.000 0.000 0.000
0.000 0.000 6.992
0.000 0.000 22.171
0.000 0.000 14.581

Entry 28:
MgSc2Cr | Alexandria via LeMat-Bulk | PBE-GGA | relaxed; DFT total energy = -5.81 eV/atom; space-group type = P4/mmm
1.0
4.873 0.000 0.000
0.000 4.873 0.000
0.000 0.000 3.524
Mg Sc Cr
1 2 1
Cartesian
0.000 0.000 0.000
0.000 2.437 1.762
2.437 0.000 1.762
2.437 2.437 0.000

Entry 29:
MgScCr2 | Alexandria via LeMat-Bulk | PBE-GGA | relaxed; DFT total energy = -6.18 eV/atom; space-group type = Cmmm
1.0
2.703 -4.431 0.000
2.703 4.431 0.000
0.000 0.000 2.626
Mg Sc Cr
1 1 2
Cartesian
0.000 0.000 0.000
2.703 0.000 0.000
1.351 2.216 1.313
1.351 -2.216 1.313

Entry 30:
MgScCr3 | Alexandria via LeMat-Bulk | PBE-GGA | relaxed; DFT total energy = -5.88 eV/atom; space-group type = Pm-3m; distance to the lowest polymorph of the same formula = 0.16 eV per formula unit
1.0
4.756 0.000 0.000
0.000 4.756 0.000
0.000 0.000 4.756
Mg Sc Cr
1 1 3
Cartesian
0.000 0.000 0.000
2.378 2.378 2.378
0.000 2.378 2.378
2.378 0.000 2.378
2.378 2.378 0.000